A relaxed structure of Te2PbAu, computed with PBEsol.

The total energy comes out at -3.63 eV/atom. The energy relative to the elements, uncorrected is 0.113 eV per atom.

It has space group R-3m (No. 166, hexagonal axes), with a = 3.8861 Å, b = 3.8861 Å, c = 28.4307 Å, α = 90.00°, β = 90.00° and γ = 120.00°. Symmetry generates all atoms from Te at (0.0000, 0.0000, 0.1104), Pb at (0.0000, 0.0000, 0.0000) and Au at (0.0000, 0.0000, 0.5000).